DFT (PBE) results for KGeAu3 after structural relaxation.

a b c (Å): 6.6213 7.5689 7.1096
angles (deg): 122.16 117.75 90.00
Sites, in units of the cell vectors:
K (0.7500, 0.6666, 0.5000)
K (0.2500, 0.3334, 0.5000)
Au (0.2500, 0.8336, 0.5000)
Au (0.2972, 0.7972, 0.0944)
Au (0.7500, 0.1664, 0.5000)
Au (0.7028, 0.2028, 0.9056)
Au (0.7972, 0.7972, 0.0944)
Au (0.2028, 0.2028, 0.9056)
Ge (0.5000, 0.0000, 0.0000)
Ge (0.0000, 0.5000, 0.0000)


DFT (PBE) results for BiPHRu2 after structural relaxation.

Computed properties:
Distance to the lowest polymorph of the same formula in meV/atom: 720

a b c (Å): 5.0643 3.5287 5.0643
angles (deg): 90.00 90.00 90.00
Sites, in units of the cell vectors:
H (0.0000, 0.5000, 0.0000)
P (0.5000, 0.5000, 0.5000)
Ru (0.5000, 0.0000, 0.0000)
Ru (0.0000, 0.0000, 0.5000)
Bi (0.0000, 0.0000, 0.0000)


Final energy
In order: -33.076; -23.854
Unit: eV for the cell shown